3
Lattice="3.599 0.000 0.000 -1.800 3.117 0.000 0.000 0.000 3.875" Properties=species:S:1:pos:R:3 comment="BeZnP (PBE-GGA, optimized geometry)" total_magnetization_mub_per_cell=0.0 relative_energy_ev_per_atom=0.046 dos_at_fermi_per_ev_fu=0.8 e_tot_ev_per_cell=-10.3 pbc="T T T"
Be 0.000 0.000 0.000
Zn 1.800 1.039 1.946
P 0.000 2.078 0.013

4
Lattice="0.000 3.028 3.028 3.028 0.000 3.028 3.028 3.028 0.000" Properties=species:S:1:pos:R:3 comment="BeZnP2 (PBE-GGA, optimized geometry)" total_magnetization_mub_per_cell=0.0 relative_energy_ev_per_atom=0.593 dos_at_fermi_per_ev_fu=2.2 e_tot_ev_per_cell=-13.6 pbc="T T T"
Be 0.000 0.000 0.000
Zn 3.028 3.028 3.028
P 1.514 1.514 1.514
P 4.542 4.542 4.542

4
Lattice="3.632 0.000 0.000 0.000 3.632 0.000 0.000 0.000 4.159" Properties=species:S:1:pos:R:3 comment="BeZn2P (PBE-GGA, optimized geometry)" total_magnetization_mub_per_cell=0.0 relative_energy_ev_per_atom=0.198 dos_at_fermi_per_ev_fu=1.7 e_tot_ev_per_cell=-10.4 pbc="T T T"
Be 0.000 0.000 0.000
Zn 0.000 1.816 2.080
Zn 1.816 0.000 2.080
P 1.816 1.816 0.000

12
Lattice="8.215 0.000 0.000 0.000 3.598 0.000 0.000 0.000 6.792" Properties=species:S:1:pos:R:3 comment="BeZnP (PBE-GGA, optimized geometry)" total_magnetization_mub_per_cell=0.0 relative_energy_ev_per_atom=0.000 dos_at_fermi_per_ev_fu=0.4 e_tot_ev_per_cell=-41.6 pbc="T T T"
Be 0.273 0.899 0.522
Be 3.834 2.698 3.919
Be 4.381 0.899 2.874
Be 7.942 2.698 6.270
Zn 0.886 0.899 2.936
Zn 3.221 2.698 6.332
Zn 4.994 0.899 0.461
Zn 7.329 2.698 3.857
P 1.298 2.698 0.961
P 2.810 0.899 4.357
P 5.406 2.698 2.435
P 6.917 0.899 5.831

4
Lattice="3.331 -1.301 0.000 3.331 1.301 0.000 -0.173 0.000 6.527" Properties=species:S:1:pos:R:3 comment="BeZnP2 (PBE-GGA, optimized geometry)" total_magnetization_mub_per_cell=0.0 relative_energy_ev_per_atom=0.184 dos_at_fermi_per_ev_fu=1.1 e_tot_ev_per_cell=-15.2 pbc="T T T"
Be 0.000 0.000 0.000
Zn 3.245 0.000 3.264
P 1.808 0.000 5.167
P 4.681 0.000 1.361

8
Lattice="-2.316 2.316 6.213 2.316 -2.316 6.213 2.316 2.316 -6.213" Properties=species:S:1:pos:R:3 comment="BeZnP2 (PBE-GGA, optimized geometry)" total_magnetization_mub_per_cell=0.0 relative_energy_ev_per_atom=0.067 dos_at_fermi_per_ev_fu=1.3 e_tot_ev_per_cell=-31.3 pbc="T T T"
Be 0.000 0.000 0.000
Be 0.000 2.316 3.106
Zn 2.316 0.000 3.106
Zn 0.000 0.000 6.213
P 3.474 0.923 -1.553
P 0.923 1.158 1.553
P -1.158 1.394 4.659
P 1.394 1.158 7.766

3
Lattice="-1.221 1.625 5.281 1.221 -1.625 5.281 1.221 1.625 -5.281" Properties=species:S:1:pos:R:3 comment="BeZnP (PBE-GGA, optimized geometry)" total_magnetization_mub_per_cell=0.0 relative_energy_ev_per_atom=0.282 dos_at_fermi_per_ev_fu=1.0 e_tot_ev_per_cell=-9.6 pbc="T T T"
Be 0.000 0.000 0.000
Zn 0.000 0.000 6.977
P 0.000 0.000 4.118

4
Lattice="1.725 -2.377 0.000 1.725 2.377 0.000 0.000 0.000 6.821" Properties=species:S:1:pos:R:3 comment="BeZnP2 (PBE-GGA, optimized geometry)" total_magnetization_mub_per_cell=0.0 relative_energy_ev_per_atom=0.415 dos_at_fermi_per_ev_fu=1.6 e_tot_ev_per_cell=-14.3 pbc="T T T"
Be 0.000 0.000 0.000
Zn 0.000 0.000 3.411
P 1.725 0.000 1.455
P 1.725 0.000 5.366

4
Lattice="2.761 0.000 0.000 0.000 4.626 0.000 -1.012 0.000 4.446" Properties=species:S:1:pos:R:3 comment="BeZn2P (PBE-GGA, optimized geometry)" total_magnetization_mub_per_cell=0.0 relative_energy_ev_per_atom=0.160 dos_at_fermi_per_ev_fu=1.2 e_tot_ev_per_cell=-10.5 pbc="T T T"
Be 0.000 0.000 0.000
Zn -0.314 2.313 3.427
Zn 2.063 2.313 1.019
P -0.506 0.000 2.223

4
Lattice="2.534 0.000 0.000 0.000 3.311 0.000 0.000 0.000 6.786" Properties=species:S:1:pos:R:3 comment="BeZn2P (PBE-GGA, optimized geometry)" total_magnetization_mub_per_cell=0.0 relative_energy_ev_per_atom=0.099 dos_at_fermi_per_ev_fu=1.3 e_tot_ev_per_cell=-10.8 pbc="T T T"
Be 0.000 0.000 0.000
Zn 0.000 0.000 3.293
Zn 1.267 1.655 5.108
P 1.267 1.655 1.025

4
Lattice="0.000 2.993 2.993 2.993 0.000 2.993 2.993 2.993 0.000" Properties=species:S:1:pos:R:3 comment="BeZnP2 (PBE-GGA, optimized geometry)" total_magnetization_mub_per_cell=0.0 relative_energy_ev_per_atom=0.631 dos_at_fermi_per_ev_fu=0.9 e_tot_ev_per_cell=-13.4 pbc="T T T"
Be 0.000 0.000 0.000
Zn 4.489 4.489 4.489
P 1.496 1.496 1.496
P 2.993 2.993 2.993

4
Lattice="3.779 0.000 0.000 0.000 3.352 0.000 -1.361 0.000 4.753" Properties=species:S:1:pos:R:3 comment="BeZnP2 (PBE-GGA, optimized geometry)" total_magnetization_mub_per_cell=0.0 relative_energy_ev_per_atom=0.209 dos_at_fermi_per_ev_fu=1.4 e_tot_ev_per_cell=-15.1 pbc="T T T"
Be 0.000 0.000 0.000
Zn 1.209 0.000 2.376
P -0.110 1.676 3.870
P 2.528 1.676 0.883

4
Lattice="-1.788 1.788 4.288 1.788 -1.788 4.288 1.788 1.788 -4.288" Properties=species:S:1:pos:R:3 comment="BeZn2P (PBE-GGA, optimized geometry)" total_magnetization_mub_per_cell=0.0 relative_energy_ev_per_atom=0.183 dos_at_fermi_per_ev_fu=1.2 e_tot_ev_per_cell=-10.4 pbc="T T T"
Be 0.000 0.000 0.000
Zn 1.788 0.000 2.144
Zn 0.000 1.788 2.144
P 0.000 0.000 4.288

4
Lattice="4.000 0.000 0.000 0.000 4.000 0.000 0.000 0.000 3.436" Properties=species:S:1:pos:R:3 comment="BeZnP2 (PBE-GGA, optimized geometry)" total_magnetization_mub_per_cell=0.0 relative_energy_ev_per_atom=0.554 dos_at_fermi_per_ev_fu=1.6 e_tot_ev_per_cell=-13.7 pbc="T T T"
Be 0.000 0.000 0.000
Zn 2.000 2.000 0.000
P 0.000 2.000 1.718
P 2.000 0.000 1.718

8
Lattice="-4.225 4.225 1.977 4.225 -4.225 1.977 4.225 4.225 -1.977" Properties=species:S:1:pos:R:3 comment="BeZn2P (PBE-GGA, optimized geometry)" total_magnetization_mub_per_cell=0.0 relative_energy_ev_per_atom=0.119 dos_at_fermi_per_ev_fu=0.6 e_tot_ev_per_cell=-21.4 pbc="T T T"
Be 0.000 0.000 0.000
Be 0.000 4.225 0.988
Zn 2.112 -1.344 1.483
Zn 2.881 2.112 0.494
Zn 2.112 5.569 -0.494
Zn 1.344 2.112 2.471
P 4.225 0.000 0.988
P 0.000 0.000 1.977

4
Lattice="2.490 -3.344 0.000 2.490 3.344 0.000 -1.516 0.000 3.417" Properties=species:S:1:pos:R:3 comment="BeZnP2 (PBE-GGA, optimized geometry)" total_magnetization_mub_per_cell=0.0 relative_energy_ev_per_atom=0.346 dos_at_fermi_per_ev_fu=1.3 e_tot_ev_per_cell=-14.6 pbc="T T T"
Be 0.000 0.000 0.000
Zn 2.490 0.000 0.000
P 0.487 1.672 1.708
P 0.487 -1.672 1.708

4
Lattice="2.666 -3.792 0.000 2.666 3.792 0.000 0.000 0.000 2.695" Properties=species:S:1:pos:R:3 comment="BeZn2P (PBE-GGA, optimized geometry)" total_magnetization_mub_per_cell=0.0 relative_energy_ev_per_atom=0.191 dos_at_fermi_per_ev_fu=1.5 e_tot_ev_per_cell=-10.4 pbc="T T T"
Be 0.000 0.000 0.000
Zn 1.333 1.896 1.347
Zn 1.333 -1.896 1.347
P 2.666 0.000 0.000

4
Lattice="0.000 3.061 3.061 3.061 0.000 3.061 3.061 3.061 0.000" Properties=species:S:1:pos:R:3 comment="BeZn2P (PBE-GGA, optimized geometry)" total_magnetization_mub_per_cell=0.0 relative_energy_ev_per_atom=0.372 dos_at_fermi_per_ev_fu=1.9 e_tot_ev_per_cell=-9.7 pbc="T T T"
Be 0.000 0.000 0.000
Zn 1.530 1.530 1.530
Zn 4.591 4.591 4.591
P 3.061 3.061 3.061

4
Lattice="2.648 0.000 0.000 0.000 2.648 0.000 0.000 0.000 8.029" Properties=species:S:1:pos:R:3 comment="BeZn2P (PBE-GGA, optimized geometry)" total_magnetization_mub_per_cell=0.0 relative_energy_ev_per_atom=0.163 dos_at_fermi_per_ev_fu=0.9 e_tot_ev_per_cell=-10.5 pbc="T T T"
Be 0.000 0.000 0.000
Zn 0.000 0.000 4.161
Zn 1.324 1.324 6.295
P 1.324 1.324 1.512

6
Lattice="0.000 3.562 3.562 3.562 0.000 3.562 3.562 3.562 0.000" Properties=species:S:1:pos:R:3 comment="BeZn4P (PBE-GGA, optimized geometry)" total_magnetization_mub_per_cell=0.0 dos_at_fermi_per_ev_fu=1.8 e_tot_ev_per_cell=-11.5 pbc="T T T"
Be 0.000 0.000 0.000
Zn 2.670 2.670 2.670
Zn 4.454 4.454 2.670
Zn 4.454 2.670 4.454
Zn 2.670 4.454 4.454
P 5.343 5.343 5.343